## one
A plane-wave DFT calculation with meta-GGA SCAN was carried out for a crystal of HgMo2Cl relaxed with PBEsol.

```
HgMo2Cl
1.0
2.821 0.000 0.000
0.000 4.790 0.000
0.000 0.000 5.089
Hg Mo Cl
1 2 1
Cartesian
0.000 0.000 0.000
0.000 2.395 2.544
1.411 2.395 0.000
1.411 0.000 2.544
```

Calculated values
- theoretical density (g/cm³) = 10.3


## two
A plane-wave DFT calculation with meta-GGA SCAN was carried out for a crystal of HgMo2Cl relaxed with PBEsol.

```
HgMo2Cl
1.0
3.887 0.000 0.000
0.000 3.887 0.000
0.000 0.000 4.563
Hg Mo Cl
1 2 1
Cartesian
0.000 0.000 0.000
0.000 1.944 2.281
1.944 0.000 2.281
1.944 1.944 0.000
```

Calculated values
- theoretical density (g/cm³) = 10.3


## three
A plane-wave DFT calculation with meta-GGA SCAN was carried out for a crystal of HgMo2Cl relaxed with PBEsol.

```
HgMo2Cl
1.0
1.414 -2.569 0.000
1.414 2.569 0.000
0.000 0.000 9.212
Hg Mo Cl
1 2 1
Cartesian
0.000 0.000 0.000
1.414 0.000 2.488
1.414 0.000 6.724
0.000 0.000 4.606
```

Calculated values
- theoretical density (g/cm³) = 10.6


Which structure is most stable, and how do the rest compare? From most to least stable: three, one, two.